1.
NiSnTe2 PBE optimized geometry; magnetization = 0.002 Bohr magnetons per cell; uncorrected formation energy = -0.057 eV per atom
1.0
3.9559 -8.3473 1.9427
2.4749 -9.0044 -1.3771
5.7813 -7.3773 -1.1190
Ni Te Sn
1 2 1
Cartesian
6.1060 -12.3645 -0.2767 Ni
10.8126 -21.8951 -0.4900 Te
1.3995 -2.8339 -0.0634 Te
0.0000 0.0000 0.0000 Sn



2.
Sr2LiBi4Pt3 PBE optimized geometry; magnetization = 0.000 Bohr magnetons per cell; energy of formation = -0.60 eV/atom
1.0
-3.5058 -2.6373 -1.9895
3.0286 -3.7245 -0.3999
-3.1208 -3.6474 10.3342
Sr Li Bi Pt
2 1 4 3
Cartesian
-2.5687 -2.2720 1.7065 Sr
-0.7907 -4.5562 7.4330 Sr
-1.7990 -5.0046 3.9724 Li
-0.2386 -3.1809 -1.1947 Bi
0.0000 0.0000 0.0000 Bi
-3.7164 -3.6135 5.5073 Bi
0.3571 -3.2148 3.6322 Bi
-1.5604 -1.8237 5.1671 Pt
-4.4646 -4.4878 7.9846 Pt
1.1052 -2.3404 1.1549 Pt



3.
SiOs2C PBE optimized geometry; magnetization = 0.000 Bohr magnetons per cell; uncorrected formation energy = 0.840 eV per atom
1.0
0.0000 2.8607 2.8607
2.8607 0.0000 2.8607
2.8607 2.8607 0.0000
Si Os C
1 2 1
Cartesian
2.8607 2.8607 2.8607 Si
1.4304 1.4304 1.4304 Os
4.2911 4.2911 4.2911 Os
0.0000 0.0000 0.0000 C



4.
Pm4Dy11Y9 PBE optimized geometry; magnetization = 0.000 Bohr magnetons per cell; energy of formation = 0.05 eV/atom
1.0
-1.0026 -2.4399 2.3692
6.2827 -10.5689 -8.2258
12.4922 2.2455 7.5988
Pm Dy Y
4 11 9
Cartesian
11.9534 -5.3959 2.1544 Pm
5.8189 -5.3674 -0.4122 Pm
10.8800 -7.6112 -0.5812 Pm
6.8923 -3.1522 2.3234 Pm
15.1774 -4.1104 2.1894 Dy
3.5975 -4.2130 -2.8164 Dy
13.0887 -8.4207 -3.1334 Dy
5.6861 0.0973 2.5064 Dy
8.4025 -6.1943 -2.8235 Dy
10.3723 -2.1292 2.1965 Dy
7.3298 -8.4080 -5.5572 Dy
11.4450 0.0845 4.9302 Dy
0.0000 0.0000 0.0000 Dy
14.2001 -6.2953 -0.4742 Dy
4.5748 -2.0281 -0.1528 Dy
5.0277 -7.5280 -2.9721 Y
12.7446 -3.2353 4.7143 Y
8.1045 -1.1783 4.8693 Y
9.6677 -9.5851 -3.1271 Y
16.5105 -7.4484 1.9690 Y
1.2618 -3.3149 -0.2268 Y
15.4628 -9.6106 -0.7011 Y
2.3095 -1.1527 2.4433 Y
8.8861 -5.3817 0.8711 Y



5.
GaAg3Rh PBE optimized geometry; magnetization = 0.650 Bohr magnetons per cell; energy of formation = 0.85 eV/atom
1.0
-0.8886 2.5631 -3.8783
0.8591 -3.7900 -2.7016
-4.5687 -1.2112 0.2463
Rh Ga Ag
1 1 3
Cartesian
-2.2991 -1.2190 -3.1668 Rh
0.0000 0.0000 0.0000 Ga
0.4295 -1.8950 -1.3508 Ag
-2.2843 -0.6056 0.1232 Ag
-0.4443 1.2815 -1.9391 Ag



6.
TbTiZnIr2 PBE optimized geometry; magnetization = 0.000 Bohr magnetons per cell; energy of formation = -0.66 eV/atom
1.0
3.9935 0.0000 0.0000
0.0000 3.9935 0.0000
-1.9968 -1.9968 5.8299
Tb Ti Zn Ir
1 1 1 2
Cartesian
0.0000 0.0000 0.0000 Tb
0.0000 1.9968 2.9149 Ti
1.9968 0.0000 2.9149 Zn
1.9968 1.9968 1.2902 Ir
0.0000 0.0000 4.5397 Ir